Computed, not measured: an optimized crystal structure of TlHg2IO2 at the PBE level of DFT.

Cell and atoms, written as POSCAR:
```
TlHg2IO2
1.0
-4.1152 2.8105 -3.1445
-3.6924 -0.0286 4.8066
2.3681 8.7317 4.7051
Tl O I Hg
2 4 2 4
direct
0.7500 0.8252 0.0631
0.2500 0.1748 0.9369
0.0009 0.0793 0.1242
0.4991 0.0793 0.1242
0.9991 0.9207 0.8758
0.5009 0.9207 0.8758
0.7500 0.2824 0.4568
0.2500 0.7176 0.5432
0.2500 0.6352 0.8618
0.7500 0.3648 0.1382
0.2500 0.9624 0.2923
0.7500 0.0376 0.7077
```

Results
E (eV/atom): -2.753